Entry 1:
DFT (PBE-GGA) results for an optimized crystal structure of Ba2SrLi.

Results
Energy of formation in eV/atom: 0.0489
SG: Cm, No. 8

Unit cell a=15.097 b=4.501 c=6.780 alpha=90.00 beta=116.68 gamma=90.00
Fractional coordinates of all 8 atoms:
Ba 0.000 0.000 0.000
Ba 0.208 0.000 0.708
Ba 0.500 0.500 0.000
Ba 0.708 0.500 0.708
Sr 0.288 0.500 0.288
Sr 0.788 0.000 0.288
Li 0.493 0.000 0.494
Li 0.993 0.500 0.494


Entry 2:
DFT (PBE-GGA) results for an optimized crystal structure of Ba2SrLi.

Results
Energy of formation in eV/atom: 0.1189
SG: F-43m, No. 216

Unit cell a=9.323 b=9.323 c=9.323 alpha=90.00 beta=90.00 gamma=90.00
Fractional coordinates of all 16 atoms:
Ba 0.000 0.000 0.000
Ba 0.000 0.500 0.500
Ba 0.250 0.250 0.250
Ba 0.250 0.750 0.750
Ba 0.500 0.000 0.500
Ba 0.500 0.500 0.000
Ba 0.750 0.250 0.750
Ba 0.750 0.750 0.250
Sr 0.250 0.250 0.750
Sr 0.250 0.750 0.250
Sr 0.750 0.250 0.250
Sr 0.750 0.750 0.750
Li 0.000 0.000 0.500
Li 0.000 0.500 0.000
Li 0.500 0.000 0.000
Li 0.500 0.500 0.500


Entry 3:
DFT (PBE-GGA) results for an optimized crystal structure of BaSrLi3.

Results
Energy of formation in eV/atom: 0.5724
SG: Pm-3m, No. 221

Unit cell a=5.930 b=5.930 c=5.930 alpha=90.00 beta=90.00 gamma=90.00
Fractional coordinates of all 5 atoms:
Ba 0.000 0.000 0.000
Sr 0.500 0.500 0.500
Li 0.000 0.000 0.500
Li 0.000 0.500 0.000
Li 0.500 0.000 0.000


Entry 4:
DFT (PBE-GGA) results for an optimized crystal structure of BaSrLi3.

Results
Energy of formation in eV/atom: 0.4510
SG: Pm-3m, No. 221

Unit cell a=6.079 b=6.079 c=6.079 alpha=90.00 beta=90.00 gamma=90.00
Fractional coordinates of all 5 atoms:
Ba 0.000 0.000 0.000
Sr 0.500 0.500 0.500
Li 0.000 0.500 0.500
Li 0.500 0.000 0.500
Li 0.500 0.500 0.000